# 1
BeSbTe, optimized geometry, DFT PBE; calculated volume = 29.88 Å³ per atom; ΔE_f (raw) = 0.038 eV/atom; relative energy among the computed polymorphs = 109 meV per atom; D(E_F) = 0.03 states/eV per atom
1.0
6.4170 0.0000 0.0000
0.0000 3.6025 0.0000
-0.4296 0.0000 7.7560
Be Sb Te
2 2 2
Cartesian
0.0000 0.0000 0.0000
-0.0457 1.8012 1.7093
0.1898 1.8012 5.7983
4.2623 1.8012 7.4957
1.6272 0.0000 1.6609
4.8420 1.8012 3.6012

***

# 2
MnNb2Ga2Ni7, optimized geometry, DFT PBE; calculated volume = 13.47 Å³ per atom; D(E_F) = 0.94 states/eV per atom; final energy = -6.33 eV/atom
1.0
-1.6559 1.6559 14.7419
1.6559 -1.6559 14.7419
1.6559 1.6559 -14.7419
Mn Nb Ga Ni
1 2 2 7
Cartesian
0.0000 0.0000 0.0000
0.0000 0.0000 10.8304
0.0000 0.0000 18.6533
0.0000 0.0000 5.6072
0.0000 0.0000 23.8765
1.6559 0.0000 1.9375
0.0000 0.0000 8.0650
1.6559 0.0000 12.8044
0.0000 0.0000 14.7419
0.0000 1.6559 1.9375
0.0000 0.0000 21.4187
0.0000 1.6559 12.8044

***

# 3
Li2CoSb, optimized geometry, DFT PBE; calculated volume = 19.53 Å³ per atom; ΔE_f (raw) = 0.143 eV/atom; D(E_F) = 0.49 states/eV per atom
1.0
1.7043 0.9840 7.7624
-1.7043 0.9840 7.7624
0.0000 -1.9680 7.7624
Li Co Sb
2 1 1
Cartesian
0.0000 0.0000 0.0000
0.0000 0.0000 5.3883
0.0000 0.0000 11.4366
0.0000 0.0000 17.7313

***

# 4
LiErAs2Rh5, optimized geometry, DFT PBE; calculated volume = 21.23 Å³ per atom; D(E_F) = 0.96 states/eV per atom; final energy = -6.24 eV/atom
1.0
4.0423 0.0000 0.0000
0.0000 4.0423 0.0000
0.0000 0.0000 11.6928
Li Er As Rh
1 1 2 5
Cartesian
0.0000 0.0000 0.0000
2.0211 2.0211 5.8464
0.0000 0.0000 2.4626
0.0000 0.0000 9.2302
0.0000 0.0000 5.8464
0.0000 2.0211 3.7852
0.0000 2.0211 7.9076
2.0211 0.0000 3.7852
2.0211 0.0000 7.9076

***

# 5
CeThAgRu, optimized geometry, DFT PBE; calculated volume = 23.42 Å³ per atom; D(E_F) = 1.85 states/eV per atom; final energy = -6.53 eV/atom
1.0
0.0000 3.6047 3.6047
3.6047 0.0000 3.6047
3.6047 3.6047 0.0000
Ce Th Ag Ru
1 1 1 1
Cartesian
0.0000 0.0000 0.0000
3.6047 3.6047 3.6047
1.8023 1.8023 1.8023
5.4070 5.4070 5.4070

***

# 6
TcSnW3, optimized geometry, DFT PBE; calculated volume = 21.98 Å³ per atom; relative energy among the computed polymorphs = 1214 meV per atom; D(E_F) = 1.51 states/eV per atom
1.0
4.7897 0.0000 0.0000
0.0000 4.7897 0.0000
0.0000 0.0000 4.7897
Tc Sn W
1 1 3
Cartesian
0.0000 0.0000 0.0000
2.3948 2.3948 2.3948
0.0000 2.3948 2.3948
2.3948 0.0000 2.3948
2.3948 2.3948 0.0000

***

# 7
PrScUO6, optimized geometry, DFT PBE; calculated volume = 15.16 Å³ per atom; ΔE_f (raw) = -3.334 eV/atom; D(E_F) = 0.00 states/eV per atom
1.0
5.6086 0.0000 0.0000
-2.8043 4.8572 0.0000
0.0000 0.0000 10.0150
Pr Sc U O
2 2 2 12
Cartesian
0.0000 0.0000 0.0000
0.0000 0.0000 5.0075
0.0000 3.2381 2.5038
2.8043 1.6191 7.5113
0.0000 3.2381 7.5113
2.8043 1.6191 2.5038
-0.9838 1.7500 6.4152
-1.7806 3.1302 8.6074
0.9838 1.7500 8.6074
-0.7969 4.8342 6.4152
2.0074 0.0230 1.4077
1.0237 1.7270 3.5999
1.7806 3.1302 6.4152
0.7969 4.8342 8.6074
3.6012 0.0230 3.5999
1.8205 3.1072 1.4077
4.5849 1.7270 1.4077
3.7881 3.1072 3.5999

***

# 8
Ce3Er2Sb3, optimized geometry, DFT PBE; calculated volume = 28.70 Å³ per atom; ΔE_f (raw) = -0.794 eV/atom; D(E_F) = 3.14 states/eV per atom
1.0
9.1052 0.0000 0.0000
-4.5526 7.8854 0.0000
0.0000 0.0000 6.3962
Ce Er Sb
6 4 6
Cartesian
-1.1172 1.9351 1.5991
-3.4354 5.9503 4.7972
2.2345 0.0000 1.5991
1.1172 1.9351 4.7972
6.8708 0.0000 4.7972
3.4354 5.9503 1.5991
0.0000 5.2569 0.0000
0.0000 5.2569 3.1981
4.5526 2.6285 0.0000
4.5526 2.6285 3.1981
-1.7978 3.1139 4.7972
-2.7548 4.7714 1.5991
3.5957 0.0000 4.7972
1.7978 3.1139 1.5991
5.5096 0.0000 1.5991
2.7548 4.7714 4.7972

***

# 9
Mg2AlAgH, optimized geometry, DFT PBE; calculated volume = 19.52 Å³ per atom; relative energy among the computed polymorphs = 335 meV per atom; D(E_F) = 0.54 states/eV per atom
1.0
5.4141 0.0000 0.0000
0.0000 5.4141 0.0000
0.0000 0.0000 3.3300
Mg Al Ag H
2 1 1 1
Cartesian
0.0000 2.7070 0.0000
2.7070 0.0000 0.0000
0.0000 0.0000 0.0000
2.7070 2.7070 1.6650
0.0000 0.0000 1.6650

***

# 10
CdCoPb2, optimized geometry, DFT PBE; calculated volume = 23.24 Å³ per atom; D(E_F) = 1.41 states/eV per atom; final energy = -3.37 eV/atom
1.0
3.6031 0.0000 0.0000
0.0000 5.0573 0.0000
0.0000 0.0000 5.1008
Cd Co Pb
1 1 2
Cartesian
0.0000 0.0000 0.0000
0.0000 2.5286 2.5504
1.8015 0.0000 2.5504
1.8015 2.5286 0.0000

***

# 11
AcLaThSn, optimized geometry, DFT PBE; calculated volume = 33.01 Å³ per atom; D(E_F) = 0.93 states/eV per atom; final energy = -5.24 eV/atom
1.0
0.0000 4.0415 4.0415
4.0415 0.0000 4.0415
4.0415 4.0415 0.0000
Ac La Th Sn
1 1 1 1
Cartesian
0.0000 0.0000 0.0000
2.0207 2.0207 2.0207
6.0622 6.0622 6.0622
4.0415 4.0415 4.0415

***

# 12
ZrNiP2, optimized geometry, DFT PBE; calculated volume = 15.16 Å³ per atom; D(E_F) = 0.64 states/eV per atom; final energy = -6.92 eV/atom
1.0
-1.6998 1.7463 5.1064
1.6998 -1.7463 5.1064
1.6998 1.7463 -5.1064
Zr Ni P
1 1 2
Cartesian
0.0000 0.0000 0.0000
1.6998 0.0000 2.5398
0.0000 0.0000 4.1745
0.0000 1.7463 1.9907

***

# 13
NbNi14W, optimized geometry, DFT PBE; calculated volume = 11.56 Å³ per atom; D(E_F) = 1.67 states/eV per atom; final energy = -6.58 eV/atom
1.0
5.1119 0.0000 0.0000
0.0000 5.1119 0.0000
0.0000 0.0000 7.0799
Nb Ni W
1 14 1
Cartesian
0.0000 0.0000 0.0000
0.0000 0.0000 3.5400
0.0000 2.5560 0.0000
0.0000 2.5560 3.5400
1.2899 1.2899 1.8037
1.2899 1.2899 5.2762
1.2899 3.8220 1.8037
1.2899 3.8220 5.2762
2.5560 0.0000 0.0000
2.5560 0.0000 3.5400
2.5560 2.5560 3.5400
3.8220 1.2899 1.8037
3.8220 1.2899 5.2762
3.8220 3.8220 1.8037
3.8220 3.8220 5.2762
2.5560 2.5560 0.0000

***

# 14
PrMgCu5, optimized geometry, DFT PBE; calculated volume = 16.18 Å³ per atom; D(E_F) = 0.43 states/eV per atom; final energy = -4.02 eV/atom
1.0
8.3584 0.0000 0.0000
0.0000 5.1308 0.0000
0.0000 0.0000 10.5649
Pr Mg Cu
4 4 20
Cartesian
2.0529 1.2827 0.6298
2.1263 3.8481 5.9122
6.2321 1.2827 4.6527
6.3055 3.8481 9.9351
1.1584 3.8481 9.1051
3.0208 1.2827 3.8227
5.3376 3.8481 6.7422
7.1999 1.2827 1.4597
0.4472 3.8481 1.1481
0.5645 0.0134 3.3039
0.5645 2.5520 3.3039
0.7177 1.2827 5.4520
1.5423 1.2827 7.8624
2.6369 3.8481 2.5800
3.4615 3.8481 0.1696
3.6147 2.5788 8.5864
3.6147 5.1174 8.5864
3.7320 1.2827 6.4306
4.6264 3.8481 4.1343
4.7437 0.0134 1.9785
4.7437 2.5520 1.9785
4.8969 1.2827 10.3953
5.7215 1.2827 7.9849
6.8160 3.8481 2.7025
7.6407 3.8481 5.1128
7.7938 2.5788 7.2609
7.7938 5.1174 7.2609
7.9112 1.2827 9.4167

***

# 15
Sr3CdIn2, optimized geometry, DFT PBE; calculated volume = 33.77 Å³ per atom; relative energy among the computed polymorphs = 4 meV per atom; D(E_F) = 0.79 states/eV per atom
1.0
2.8630 -8.5946 0.0000
2.8630 8.5946 0.0000
0.0000 0.0000 4.1167
Sr Cd In
3 1 2
Cartesian
0.0000 0.0000 0.0000
2.8630 2.8488 0.0000
2.8630 -2.8488 0.0000
2.8630 0.0000 2.0584
2.8630 5.7023 2.0584
2.8630 -5.7023 2.0584

***

# 16
HoPuMn2, optimized geometry, DFT PBE; calculated volume = 19.76 Å³ per atom; D(E_F) = 1.46 states/eV per atom; final energy = -9.20 eV/atom
1.0
4.8591 0.0000 0.0000
0.0000 4.8591 0.0000
0.0000 0.0000 3.3477
Ho Pu Mn
1 1 2
Cartesian
0.0000 0.0000 0.0000
2.4296 2.4296 0.0000
0.0000 2.4296 1.6739
2.4296 0.0000 1.6739

***

# 17
RbNpHgBr6, optimized geometry, DFT PBE; calculated volume = 48.13 Å³ per atom; ΔE_f (raw) = -1.119 eV/atom; D(E_F) = 0.91 states/eV per atom
1.0
8.3827 0.0000 0.0000
-4.1914 7.2597 0.0000
0.0000 0.0000 7.1176
Rb Np Hg Br
1 1 1 6
Cartesian
0.0000 0.0000 0.0000
0.0000 4.8398 0.0000
4.1914 2.4199 3.5588
-1.1019 2.9342 1.5704
-2.2013 4.8383 5.5472
1.1019 2.9342 5.5472
-1.0994 6.7469 1.5704
2.2013 4.8383 1.5704
1.0994 6.7469 5.5472

***

# 18
Rb2YTh2Te6, optimized geometry, DFT PBE; calculated volume = 41.92 Å³ per atom; ΔE_f (raw) = -1.271 eV/atom; D(E_F) = 0.50 states/eV per atom
1.0
3.8738 -6.7009 0.0000
3.8738 6.7009 0.0000
-2.6077 0.0000 8.8822
Rb Y Th Te
2 1 2 6
Cartesian
3.8738 4.4542 0.0000
3.8738 -4.4542 0.0000
-1.3039 0.0000 4.4411
2.5699 2.2406 4.4411
2.5699 -2.2406 4.4411
-0.0161 2.1936 6.2522
1.2627 0.0000 2.6377
-0.0161 -2.1936 6.2522
5.1560 2.1936 2.6300
3.8772 0.0000 6.2445
5.1560 -2.1936 2.6300

***

# 19
CaZr2AgCl, optimized geometry, DFT PBE; calculated volume = 28.39 Å³ per atom; ΔE_f (raw) = 1.163 eV/atom; D(E_F) = 1.17 states/eV per atom
1.0
5.3538 0.0000 0.0000
0.0000 5.3538 0.0000
0.0000 0.0000 4.9525
Ca Zr Ag Cl
1 2 1 1
Cartesian
0.0000 0.0000 0.0000
0.0000 2.6769 0.0000
2.6769 0.0000 0.0000
2.6769 2.6769 2.4762
0.0000 0.0000 2.4762

***

# 20
CsNpTl2I8, optimized geometry, DFT PBE; calculated volume = 46.47 Å³ per atom; ΔE_f (raw) = -0.809 eV/atom; D(E_F) = 0.49 states/eV per atom
1.0
6.7292 0.0000 0.0000
0.7357 8.3773 0.0000
3.1148 -0.0439 9.8919
Cs Np Tl I
1 1 2 8
Cartesian
0.0000 0.0000 0.0000
4.9220 -0.0220 4.9460
4.0545 4.5682 3.0518
6.5252 3.7652 6.8401
3.2834 2.2744 5.9702
3.9482 6.3571 6.3607
2.0341 4.1846 0.0656
4.0793 8.0810 2.3796
6.5004 0.2524 7.5123
8.5455 4.1488 9.8263
6.6315 1.9763 3.5312
7.2963 6.0590 3.9217